{
  "formula": "ErPu2ThS4",
  "functional": "GGA-PBE",
  "state": "optimized geometry",
  "cell": [[3.933, 0.000, 0.000], [0.000, 6.876, 0.142], [0.000, -2.381, 6.420]],
  "species": ["S", "S", "S", "S", "Pu", "Pu", "Er", "Th"],
  "frac_coords": [[0.000, 0.240, 0.745], [0.500, 0.759, 0.752], [0.500, 0.241, 0.248], [0.000, 0.760, 0.255], [0.000, 0.500, 0.500], [0.500, 0.000, 0.500], [0.000, 0.000, 0.000], [0.500, 0.500, 0.000]],
  "raw_formation_energy_ev_per_atom": -1.846,
  "total_magnetization_mub_per_atom": 1.41,
  "energy_ev_per_atom": -8.9903
}

{
  "formula": "Er2PuTh3S6",
  "functional": "GGA-PBE",
  "state": "optimized geometry",
  "cell": [[3.925, 0.000, 0.000], [0.000, 8.020, 0.094], [-1.962, -2.510, 8.381]],
  "species": ["S", "S", "S", "S", "S", "S", "Er", "Er", "Th", "Th", "Th", "Pu"],
  "frac_coords": [[0.664, 0.096, 0.329], [0.336, 0.904, 0.671], [0.004, 0.244, 0.009], [0.328, 0.427, 0.657], [0.672, 0.573, 0.343], [0.996, 0.756, 0.991], [0.835, 0.669, 0.670], [0.165, 0.331, 0.330], [0.500, 0.500, 0.000], [0.834, 0.165, 0.668], [0.166, 0.835, 0.332], [0.500, 0.000, 0.000]],
  "raw_formation_energy_ev_per_atom": -1.869,
  "total_magnetization_mub_per_atom": 0.41,
  "energy_ev_per_atom": -7.7427
}

{
  "formula": "ErPu2Tl3S6",
  "functional": "GGA-PBE",
  "state": "optimized geometry",
  "cell": [[-5.840, -3.593, -1.522], [2.960, -0.634, 6.338], [-3.197, 7.098, 0.907]],
  "species": ["S", "S", "S", "S", "S", "S", "Pu", "Pu", "Er", "Tl", "Tl", "Tl"],
  "frac_coords": [[0.396, 0.065, 0.195], [0.604, 0.935, 0.805], [0.935, 0.604, 0.805], [0.065, 0.396, 0.195], [0.265, 0.265, 0.804], [0.735, 0.735, 0.196], [0.333, 0.667, 0.000], [0.667, 0.333, 0.000], [0.000, 0.000, 0.000], [0.168, 0.832, 0.500], [0.832, 0.168, 0.500], [0.500, 0.500, 0.500]],
  "raw_formation_energy_ev_per_atom": -1.295,
  "total_magnetization_mub_per_atom": 0.83,
  "energy_ev_per_atom": -6.7194
}

{
  "formula": "ErPu3Tl4S8",
  "functional": "GGA-PBE",
  "state": "optimized geometry",
  "cell": [[-6.956, 1.846, 3.779], [-2.295, -8.517, -0.063], [7.118, 1.937, 3.414]],
  "species": ["Tl", "Tl", "Tl", "Tl", "S", "S", "S", "S", "S", "S", "S", "S", "Pu", "Pu", "Pu", "Er"],
  "frac_coords": [[0.000, 0.000, 0.000], [0.500, 0.000, 0.500], [0.500, 0.000, 0.000], [0.000, 0.000, 0.500], [0.264, 0.304, 0.034], [0.736, 0.696, 0.966], [0.770, 0.304, 0.034], [0.230, 0.696, 0.460], [0.731, 0.694, 0.462], [0.230, 0.696, 0.966], [0.269, 0.306, 0.538], [0.770, 0.304, 0.540], [0.500, 0.500, 0.500], [0.500, 0.500, 0.000], [0.000, 0.500, 0.500], [0.000, 0.500, 0.000]],
  "raw_formation_energy_ev_per_atom": -1.277,
  "total_magnetization_mub_per_atom": 0.94,
  "energy_ev_per_atom": -6.9048
}

{
  "formula": "ErPuTl2S4",
  "functional": "GGA-PBE",
  "state": "optimized geometry",
  "cell": [[-3.668, -0.567, -1.608], [2.862, -0.400, -6.388], [-0.168, -7.268, 2.947]],
  "species": ["Tl", "Tl", "Er", "S", "S", "S", "S", "Pu"],
  "frac_coords": [[0.500, 0.000, 0.500], [0.000, 0.500, 0.500], [0.000, 0.000, 0.000], [0.500, 0.227, 0.197], [0.000, 0.735, 0.195], [0.500, 0.773, 0.803], [0.000, 0.265, 0.805], [0.500, 0.500, 0.000]],
  "raw_formation_energy_ev_per_atom": -1.336,
  "total_magnetization_mub_per_atom": 0.62,
  "energy_ev_per_atom": -6.3535
}

{
  "formula": "ErTm2PuS4",
  "functional": "GGA-PBE",
  "state": "optimized geometry",
  "cell": [[3.860, 0.000, 0.000], [0.000, 6.715, 0.131], [0.000, -2.332, 6.302]],
  "species": ["Tm", "Tm", "S", "S", "S", "S", "Pu", "Er"],
  "frac_coords": [[0.500, 0.000, 0.500], [0.000, 0.500, 0.500], [0.000, 0.244, 0.743], [0.500, 0.248, 0.255], [0.500, 0.752, 0.745], [0.000, 0.756, 0.257], [0.500, 0.500, 0.000], [0.000, 0.000, 0.000]],
  "raw_formation_energy_ev_per_atom": -1.923,
  "total_magnetization_mub_per_atom": 0.73,
  "energy_ev_per_atom": -7.4662
}

{
  "formula": "Er2TmPuS4",
  "functional": "GGA-PBE",
  "state": "optimized geometry",
  "cell": [[-2.584, 2.516, 1.393], [1.591, -1.838, 6.274], [3.957, 5.103, -1.880]],
  "species": ["Pu", "S", "S", "S", "S", "Er", "Er", "Tm"],
  "frac_coords": [[0.500, 0.500, 0.000], [0.500, 0.754, 0.749], [0.500, 0.246, 0.251], [0.000, 0.244, 0.746], [0.000, 0.756, 0.254], [0.500, 0.000, 0.500], [0.000, 0.500, 0.500], [0.000, 0.000, 0.000]],
  "raw_formation_energy_ev_per_atom": -1.927,
  "total_magnetization_mub_per_atom": 0.73,
  "energy_ev_per_atom": -7.4817
}

{
  "formula": "Er2Tm3PuS6",
  "functional": "GGA-PBE",
  "state": "optimized geometry",
  "cell": [[3.849, 0.000, 0.000], [0.000, 7.759, 0.275], [-1.925, -2.239, 8.130]],
  "species": ["S", "S", "S", "S", "S", "S", "Tm", "Tm", "Tm", "Pu", "Er", "Er"],
  "frac_coords": [[0.667, 0.585, 0.335], [0.330, 0.916, 0.660], [0.999, 0.257, 0.999], [0.333, 0.415, 0.665], [0.001, 0.743, 0.001], [0.670, 0.084, 0.340], [0.500, 0.500, 0.000], [0.835, 0.164, 0.671], [0.165, 0.836, 0.329], [0.500, 0.000, 0.000], [0.164, 0.328, 0.328], [0.836, 0.672, 0.672]],
  "raw_formation_energy_ev_per_atom": -1.938,
  "total_magnetization_mub_per_atom": 0.49,
  "energy_ev_per_atom": -7.0746
}